{
  "formula": "Y2Ga3Pt4Au",
  "functional": "PBE",
  "state": "relaxed",
  "lattice": [[4.0155, 0.0000, 0.0000], [0.0000, 4.0155, 0.0000], [0.0000, 0.0000, 11.8293]],
  "species": ["Y", "Y", "Ga", "Ga", "Ga", "Pt", "Pt", "Pt", "Pt", "Au"],
  "fractional_positions": [[0.5000, 0.0000, 0.2536], [0.0000, 0.5000, 0.7464], [0.0000, 0.0000, 0.5000], [0.5000, 0.0000, 0.8704], [0.0000, 0.5000, 0.1296], [0.5000, 0.5000, 0.0000], [0.0000, 0.0000, 0.0000], [0.5000, 0.0000, 0.6634], [0.0000, 0.5000, 0.3366], [0.5000, 0.5000, 0.5000]],
  "delta_e_f_ev_per_atom": -0.89
}


{
  "formula": "TbNd6Dy2Th",
  "functional": "PBE",
  "state": "relaxed",
  "lattice": [[9.2697, -2.1817, -2.2641], [0.8667, 8.6250, -1.9169], [0.8667, -2.2352, 8.5480]],
  "species": ["Tb", "Tb", "Nd", "Nd", "Nd", "Nd", "Nd", "Nd", "Nd", "Nd", "Nd", "Nd", "Nd", "Nd", "Dy", "Dy", "Dy", "Dy", "Th", "Th"],
  "fractional_positions": [[0.2500, 0.4075, 0.5925], [0.7500, 0.5925, 0.4075], [0.0575, 0.1094, 0.7583], [0.4425, 0.2417, 0.8906], [0.9425, 0.8906, 0.2417], [0.5575, 0.7583, 0.1094], [0.3127, 0.9892, 0.4253], [0.1873, 0.5747, 0.0108], [0.6873, 0.0108, 0.5747], [0.8127, 0.4253, 0.9892], [0.1189, 0.7017, 0.4877], [0.3811, 0.5123, 0.2983], [0.8811, 0.2983, 0.5123], [0.6189, 0.4877, 0.7017], [0.4497, 0.8010, 0.7108], [0.0503, 0.2892, 0.1990], [0.5503, 0.1990, 0.2892], [0.9497, 0.7108, 0.8010], [0.2500, 0.9713, 0.0287], [0.7500, 0.0287, 0.9713]],
  "delta_e_f_ev_per_atom": 0.14
}


{
  "formula": "KRb2I6F",
  "functional": "PBE",
  "state": "relaxed",
  "lattice": [[8.1949, 0.0000, 0.0000], [0.0000, 8.1949, 0.0000], [4.0975, 4.0975, 7.1684]],
  "species": ["I", "I", "I", "I", "I", "I", "K", "Rb", "Rb", "F"],
  "fractional_positions": [[0.2346, 0.2346, 0.5308], [0.7654, 0.7654, 0.4692], [0.2833, 0.2833, 0.0000], [0.7167, 0.7167, 0.0000], [0.7167, 0.2833, 0.0000], [0.2833, 0.7167, 0.0000], [0.0000, 0.0000, 0.0000], [0.7500, 0.2500, 0.5000], [0.2500, 0.7500, 0.5000], [0.5000, 0.5000, 0.0000]],
  "e_form_raw_mev_per_atom": -668
}


{
  "formula": "LaOs5",
  "functional": "PBE",
  "state": "relaxed",
  "lattice": [[5.1032, -1.3476, -0.2973], [1.8427, -4.0279, 2.8858], [1.4082, -4.5159, -2.3602]],
  "species": ["La", "Os", "Os", "Os", "Os", "Os"],
  "fractional_positions": [[0.0000, 0.0000, 0.0000], [0.6239, 0.6239, 0.1282], [0.2500, 0.2500, 0.2500], [0.6239, 0.6239, 0.6239], [0.1282, 0.6239, 0.6239], [0.6239, 0.1282, 0.6239]],
  "delta_e_f_ev_per_atom": 0.62
}


{
  "formula": "DyBe2Co3",
  "functional": "PBE",
  "state": "relaxed",
  "lattice": [[3.4747, 0.0000, 0.0000], [0.0000, 4.2846, -2.4671], [0.0000, -0.0058, 4.9440]],
  "species": ["Dy", "Be", "Be", "Co", "Co", "Co"],
  "fractional_positions": [[0.0000, 0.0012, 0.0000], [0.0000, 0.3346, 0.6667], [0.0000, 0.6679, 0.3333], [0.5000, 0.0012, 0.5000], [0.5000, 0.5013, 0.5000], [0.5000, 0.5013, 0.0000]],
  "delta_e_f_ev_per_atom": -0.28
}


{
  "formula": "Pa2MnTl3S6",
  "functional": "PBE",
  "state": "relaxed",
  "lattice": [[-5.0227, 0.1312, -4.5079], [5.9480, -2.7326, -1.6493], [-2.7973, -6.0965, 4.6279]],
  "species": ["Pa", "Pa", "Mn", "Tl", "Tl", "Tl", "S", "S", "S", "S", "S", "S"],
  "fractional_positions": [[0.3331, 0.6669, 0.0000], [0.6669, 0.3331, 0.0000], [0.0000, 0.0000, 0.0000], [0.1647, 0.8353, 0.5000], [0.8353, 0.1647, 0.5000], [0.5000, 0.5000, 0.5000], [0.9370, 0.6123, 0.8111], [0.7385, 0.7385, 0.1873], [0.0630, 0.3877, 0.1889], [0.6123, 0.9370, 0.8111], [0.2615, 0.2615, 0.8127], [0.3877, 0.0630, 0.1889]],
  "e_form_raw_mev_per_atom": -963
}


{
  "formula": "ReBiMo3",
  "functional": "PBE",
  "state": "relaxed",
  "lattice": [[4.8199, 0.0000, 0.0000], [0.0000, 4.8199, 0.0000], [0.0000, 0.0000, 4.8199]],
  "species": ["Re", "Mo", "Mo", "Mo", "Bi"],
  "fractional_positions": [[0.0000, 0.0000, 0.0000], [0.0000, 0.5000, 0.0000], [0.0000, 0.0000, 0.5000], [0.5000, 0.0000, 0.0000], [0.5000, 0.5000, 0.5000]],
  "delta_e_f_ev_per_atom": 1.47
}


{
  "formula": "MgCd2Fe",
  "functional": "PBE",
  "state": "relaxed",
  "lattice": [[-0.4278, 9.8128, -0.2220], [-2.5863, 9.2115, -2.2321], [-3.2352, 9.2497, 0.7071]],
  "species": ["Cd", "Cd", "Fe", "Mg"],
  "fractional_positions": [[0.9935, 0.9935, 0.9935], [0.5065, 0.5065, 0.5065], [0.2500, 0.2500, 0.2500], [0.7500, 0.7500, 0.7500]],
  "delta_e_f_ev_per_atom": 0.24
}


{
  "formula": "HoMgSc2Tl4",
  "functional": "PBE",
  "state": "relaxed",
  "lattice": [[5.1230, 0.0000, 0.0000], [2.5615, 4.4366, 0.0000], [2.5615, 1.4789, 8.6472]],
  "species": ["Ho", "Mg", "Sc", "Sc", "Tl", "Tl", "Tl", "Tl"],
  "fractional_positions": [[0.0000, 0.0000, 0.0000], [0.5000, 0.5000, 0.5000], [0.7545, 0.7545, 0.7364], [0.2455, 0.2455, 0.2636], [0.3774, 0.3774, 0.8679], [0.8745, 0.8745, 0.3764], [0.1255, 0.1255, 0.6236], [0.6226, 0.6226, 0.1321]],
  "delta_e_f_ev_per_atom": -0.22
}


{
  "formula": "PPtPb",
  "functional": "PBE",
  "state": "relaxed",
  "lattice": [[-0.4387, 1.9884, -3.4954], [-1.2419, 1.6910, 3.4586], [4.2020, 1.9249, 0.5677]],
  "species": ["P", "Pt", "Pb"],
  "fractional_positions": [[0.0000, 0.0000, 0.5000], [0.6667, 0.3333, 0.5000], [0.3333, 0.6667, 0.0000]],
  "delta_e_f_ev_per_atom": -0.29
}


{
  "formula": "Tb4Zn2Ru2C",
  "functional": "PBE",
  "state": "relaxed",
  "lattice": [[-3.2396, 3.7944, -0.8592], [1.1706, -0.2834, -6.0711], [-4.0008, -3.9202, -2.6333]],
  "species": ["Tb", "Tb", "Tb", "Tb", "Zn", "Zn", "Ru", "Ru", "C"],
  "fractional_positions": [[0.2517, 0.6222, 0.1281], [0.7483, 0.8719, 0.3778], [0.7483, 0.3778, 0.8719], [0.2517, 0.1281, 0.6222], [0.2230, 0.6343, 0.6343], [0.7770, 0.3657, 0.3657], [0.2277, 0.1310, 0.1310], [0.7723, 0.8690, 0.8690], [0.5000, 0.0000, 0.0000]],
  "delta_e_f_ev_per_atom": -0.33
}


{
  "formula": "NaTb2Pm3Se6",
  "functional": "PBE",
  "state": "relaxed",
  "lattice": [[4.1478, 0.0000, 0.0000], [0.0000, 8.3460, 0.2965], [-2.0739, -2.4071, 8.7547]],
  "species": ["Na", "Tb", "Tb", "Pm", "Pm", "Pm", "Se", "Se", "Se", "Se", "Se", "Se"],
  "fractional_positions": [[0.5000, 0.0000, 0.0000], [0.8336, 0.6610, 0.6673], [0.1664, 0.3390, 0.3327], [0.5000, 0.5000, 0.0000], [0.8378, 0.1748, 0.6757], [0.1622, 0.8252, 0.3243], [0.3322, 0.9113, 0.6645], [0.6682, 0.5792, 0.3365], [0.6678, 0.0887, 0.3355], [0.0039, 0.2480, 0.0078], [0.9961, 0.7520, 0.9922], [0.3318, 0.4208, 0.6635]],
  "e_form_raw_mev_per_atom": -1777
}


{
  "formula": "Pm6MgTl",
  "functional": "PBE",
  "state": "relaxed",
  "lattice": [[-4.9031, -0.8493, -0.3142], [0.3837, -0.3814, -4.9566], [1.6398, -9.7924, 0.8805]],
  "species": ["Pm", "Pm", "Pm", "Pm", "Pm", "Pm", "Mg", "Tl"],
  "fractional_positions": [[0.5000, 0.5000, 0.0000], [0.5000, 0.5000, 0.5000], [0.5000, 0.0000, 0.2483], [0.5000, 0.0000, 0.7517], [0.0000, 0.5000, 0.2483], [0.0000, 0.5000, 0.7517], [0.0000, 0.0000, 0.5000], [0.0000, 0.0000, 0.0000]],
  "delta_e_f_ev_per_atom": -0.09
}